Entry 1:
This record from Alexandria describes a relaxed CaTe2Ir crystal. The functional is PBE.

It has space group P2/m (No. 10), with a = 5.272 Å, b = 4.081 Å, c = 5.286 Å, α = 90.00°, β = 107.56° and γ = 90.00°. The asymmetric unit holds Ca at (0.000, 0.000, 0.000), Te at (0.306, 0.500, 0.694) and Ir at (0.500, 0.000, 0.500).

The calculation puts the total magnetization at 0.0 μB per cell. The energy relative to the lowest polymorph listed for this composition is 7.2 kJ/mol of atoms. The calculation puts the uncorrected formation energy at -0.509 eV per atom. The theoretical density is 7.46 Mg/m³. As for the density of states at the Fermi level: 0.92 states/eV/cell.



Entry 2:
This record from Alexandria describes a relaxed NbCdPdRh crystal. The functional is PBE.

It has space group F-43m (No. 216), with a = 6.450 Å, b = 6.450 Å, c = 6.450 Å, α = 90.00°, β = 90.00° and γ = 90.00°. The asymmetric unit holds Nb at (0.000, 0.000, 0.000), Cd at (0.000, 0.000, 0.500), Pd at (0.250, 0.250, 0.250) and Rh at (0.250, 0.250, 0.750).

The calculation puts the total magnetization at 0.0 μB per cell. For the formation energy, the calculation gives -0.209 eV per atom. The theoretical density is 10.26 Mg/m³. As for the density of states at the Fermi level: 17.71 states/eV/cell.



Which of these has the highest theoretical density? NbCdPdRh